(1)
Compound: Na4TlIn6
Source: Alexandria
Functional: PBE-GGA
Structure: optimized geometry

Summary:
Formation energy from the elements: -0.0543 eV/atom
Crystal system: tetragonal

Cell: 8.545 8.545 8.545 Å, 131.87 131.87 70.44°
Fractional positions:
Na 0.108 0.108 0.567
Na 0.460 0.892 0.000
Na 0.540 0.540 0.433
Na 0.892 0.460 0.000
Tl 0.500 0.500 0.000
In 0.000 0.500 0.500
In 0.060 0.746 0.000
In 0.254 0.254 0.314
In 0.500 0.000 0.500
In 0.746 0.060 0.000
In 0.940 0.940 0.686

=====

(2)
Compound: Hg2Os3O10
Source: Alexandria
Functional: PBE-GGA
Structure: optimized geometry

Summary:
Raw formation energy: -65.5 kJ per mole of atoms
Crystal system: monoclinic

Cell: 9.728 9.728 8.130 Å, 113.55 113.55 34.37°
Fractional positions:
Hg 0.082 0.082 0.227
Hg 0.195 0.195 0.807
Hg 0.805 0.805 0.193
Hg 0.918 0.918 0.773
Os 0.272 0.728 0.500
Os 0.315 0.315 0.486
Os 0.413 0.413 0.009
Os 0.587 0.587 0.991
Os 0.685 0.685 0.514
Os 0.728 0.272 0.500
O 0.000 0.500 0.500
O 0.027 0.027 0.664
O 0.108 0.609 0.015
O 0.159 0.628 0.499
O 0.272 0.272 0.246
O 0.289 0.711 0.000
O 0.367 0.367 0.758
O 0.372 0.841 0.501
O 0.391 0.892 0.985
O 0.464 0.464 0.291
O 0.500 0.000 0.500
O 0.536 0.536 0.709
O 0.609 0.108 0.015
O 0.628 0.159 0.499
O 0.633 0.633 0.242
O 0.711 0.289 0.000
O 0.728 0.728 0.754
O 0.841 0.372 0.501
O 0.892 0.391 0.985
O 0.973 0.973 0.336

=====

(3)
Compound: Na3Y2HoSe6
Source: Alexandria
Functional: PBE-GGA
Structure: optimized geometry

Summary:
Raw formation energy: -165.2 kJ per mole of atoms
Crystal system: monoclinic

Cell: 7.175 7.175 7.405 Å, 99.29 99.29 120.00°
Fractional positions:
Na 0.000 0.000 0.000
Na 0.333 0.667 0.000
Na 0.667 0.333 0.000
Y 0.167 0.833 0.500
Y 0.833 0.167 0.500
Ho 0.500 0.500 0.500
Se 0.092 0.424 0.271
Se 0.245 0.245 0.729
Se 0.424 0.092 0.271
Se 0.576 0.908 0.729
Se 0.755 0.755 0.271
Se 0.908 0.576 0.729

=====

(4)
Compound: CaTcSb
Source: Alexandria
Functional: PBE-GGA
Structure: optimized geometry

Summary:
Raw formation energy: -15.5 kJ per mole of atoms
Distance to the lowest polymorph of the same formula: 0 meV/atom
Crystal system: tetragonal

Cell: 5.993 5.993 5.993 Å, 146.24 146.24 48.50°
Fractional positions:
Ca 0.000 0.000 0.000
Tc 0.688 0.688 0.000
Sb 0.293 0.293 0.000

=====

In the order shown, the computed magnetization values come out to 0.0; 0.0; 0.0; 0.0 μB/cell.